Record 1
Computed, not measured: a relaxed Ta2Mo5 crystal at the PBEsol level of DFT.

a b c (Å): 11.393 11.393 11.393
angles (deg): 164.08 164.08 22.58
Fractional positions:
Ta1 0.211 0.211 0.000
Ta2 0.789 0.789 0.000
Mo1 0.070 0.070 0.000
Mo2 0.361 0.361 0.000
Mo3 0.500 0.500 0.000
Mo4 0.639 0.639 0.000
Mo5 0.930 0.930 0.000

## Properties
The value obtained for the spin magnetization is 0.00 μB/cell. For the relative energy among the computed polymorphs, the calculation gives 1.6 kJ per mole of atoms. The value obtained for the formation energy is -0.084 eV per atom. The density of states at the Fermi level is 0.557 states/eV per atom.


Record 2
Computed, not measured: a relaxed Ta3Mo5 crystal at the PBEsol level of DFT.

a b c (Å): 4.488 4.488 6.362
angles (deg): 90.00 90.00 90.00
Fractional positions:
Ta1 0.000 0.000 0.000
Ta2 0.000 0.500 0.255
Ta3 0.500 0.000 0.745
Mo1 0.000 0.000 0.500
Mo2 0.000 0.500 0.748
Mo3 0.500 0.000 0.252
Mo4 0.500 0.500 0.000
Mo5 0.500 0.500 0.500

## Properties
The value obtained for the spin magnetization is 0.00 μB/cell. For the relative energy among the computed polymorphs, the calculation gives 4.9 kJ per mole of atoms. The value obtained for the formation energy is -0.113 eV per atom. The density of states at the Fermi level is 0.497 states/eV per atom.


Record 3
Computed, not measured: a relaxed Ta3Mo crystal at the PBEsol level of DFT.

a b c (Å): 9.614 9.614 9.614
angles (deg): 160.65 152.53 33.82
Fractional positions:
Ta1 0.183 0.433 0.750
Ta2 0.311 0.061 0.250
Ta3 0.437 0.687 0.750
Ta4 0.563 0.313 0.250
Ta5 0.689 0.939 0.750
Ta6 0.817 0.567 0.250
Mo1 0.059 0.809 0.250
Mo2 0.941 0.191 0.750

## Properties
The value obtained for the spin magnetization is 0.00 μB/cell. For the relative energy among the computed polymorphs, the calculation gives 3.5 kJ per mole of atoms. The value obtained for the formation energy is -0.068 eV per atom. The density of states at the Fermi level is 1.043 states/eV per atom.